Compound: Sm3TeIr
Source: Alexandria
Functional: PBE
Structure: relaxed

Values from the calculation:
For the uncorrected formation energy, the calculation gives -924 meV/atom. Its offset from the most stable computed form is 0 meV per atom. For the density of states at the Fermi level, the calculation gives 13.421 states/eV/cell.

a = 7.7730 Å, b = 4.3839 Å, c = 16.8755 Å
α = 90.00°, β = 90.00°, γ = 90.00°
Space group Pnma (No. 62)
One atom of each set of equivalent atoms:
Sm 0.0136 0.2500 0.0906
Sm 0.1361 0.7500 0.4471
Sm 0.1772 0.2500 0.7057
Te 0.1217 0.2500 0.2986
Ir 0.2404 0.7500 0.0416